<A>
VASP calculation (PBE-GGA) on a relaxed YTi2Fe crystal.

Cell lengths 6.4945, 6.4945, 6.4945 Å; angles 90.00, 90.00, 90.00 degrees
Space group Fm-3m (No. 225)
Symmetry-distinct sites (fractional):
Y 0.0000 0.0000 0.0000 [4 per cell]
Ti 0.2500 0.2500 0.2500 [8 per cell]
Fe 0.0000 0.0000 0.5000 [4 per cell]

<B>
VASP calculation (PBE-GGA) on a relaxed YTi2Fe crystal.

Cell lengths 4.4880, 4.4880, 17.3273 Å; angles 90.00, 90.00, 90.00 degrees
Space group I-42d (No. 122)
Symmetry-distinct sites (fractional):
Y 0.0000 0.0000 0.0000 [4 per cell]
Ti 0.0368 0.2500 0.6250 [8 per cell]
Fe 0.0000 0.0000 0.5000 [4 per cell]

Least stable: <B>

<A>
VASP calculation (PBE-GGA) on a relaxed Y2Ti2Fe crystal.

Cell lengths 3.4538, 3.4538, 18.6692 Å; angles 90.00, 90.00, 90.00 degrees
Space group I4/mmm (No. 139)
Symmetry-distinct sites (fractional):
Y 0.0000 0.0000 0.0859 [4 per cell]
Ti 0.0000 0.5000 0.2500 [4 per cell]
Fe 0.0000 0.0000 0.5000 [2 per cell]

<B>
VASP calculation (PBE-GGA) on a relaxed Y2Ti2Fe crystal.

Cell lengths 6.3272, 6.3272, 5.1988 Å; angles 90.00, 90.00, 90.00 degrees
Space group P4/mbm (No. 127)
Symmetry-distinct sites (fractional):
Y 0.1730 0.3270 0.0000 [4 per cell]
Ti 0.1544 0.6544 0.5000 [4 per cell]
Fe 0.0000 0.0000 0.5000 [2 per cell]

<C>
VASP calculation (PBE-GGA) on a relaxed Y2Ti2Fe crystal.

Cell lengths 6.7688, 6.7688, 4.8881 Å; angles 90.00, 90.00, 90.00 degrees
Space group P4/mbm (No. 127)
Symmetry-distinct sites (fractional):
Y 0.1600 0.3400 0.0000 [4 per cell]
Ti 0.1485 0.6485 0.5000 [4 per cell]
Fe 0.0000 0.0000 0.0000 [2 per cell]

Least stable: <C>